Run A
{"formula": "MnTlMo2", "functional": "PBE-GGA", "state": "relaxed", "volume_a3_per_atom": 17.0, "mass_density_kg_m3": 11040, "n_ef_per_ev_fu": 4.0, "sg": "No. 12", "lattice_angstrom": [[2.732, -4.592, 0.000], [2.732, 4.592, 0.000], [-0.791, 0.000, 2.705]], "species": ["Mn", "Tl", "Mo", "Mo"], "fractional_positions": [[0.000, 0.000, 0.000], [0.500, 0.500, 0.000], [0.000, 0.500, 0.500], [0.500, 0.000, 0.500]]}

Run B
{"formula": "MnTlMo2", "functional": "PBE-GGA", "state": "relaxed", "volume_a3_per_atom": 18.3, "mass_density_kg_m3": 10214, "n_ef_per_ev_fu": 3.5, "sg": "No. 122", "lattice_angstrom": [[-1.908, 1.908, 10.079], [1.908, -1.908, 10.079], [1.908, 1.908, -10.079]], "species": ["Mn", "Mn", "Tl", "Tl", "Mo", "Mo", "Mo", "Mo"], "fractional_positions": [[0.000, 0.000, 0.000], [0.750, 0.250, 0.500], [0.250, 0.750, 0.500], [0.500, 0.500, 0.000], [0.097, 0.625, 0.972], [0.375, 0.347, 0.472], [0.653, 0.125, 0.028], [0.875, 0.903, 0.528]]}

Run C
{"formula": "MnTlMo2", "functional": "PBE-GGA", "state": "relaxed", "volume_a3_per_atom": 17.3, "mass_density_kg_m3": 10815, "n_ef_per_ev_fu": 3.3, "sg": "No. 6", "lattice_angstrom": [[2.898, 0.000, 0.000], [0.000, 4.113, 0.000], [-0.657, 0.000, 5.812]], "species": ["Mn", "Tl", "Mo", "Mo"], "fractional_positions": [[0.000, 0.000, 0.000], [0.453, 0.500, 0.729], [0.496, 0.500, 0.225], [0.868, 0.000, 0.438]]}

So which one is most stable? That would be run C, about 113 meV per atom below the next structure.

Run A
{"formula": "MnTlMo2", "functional": "PBE-GGA", "state": "relaxed", "volume_a3_per_atom": 17.2, "mass_density_kg_m3": 10894, "n_ef_per_ev_fu": 2.7, "sg": "No. 35", "lattice_angstrom": [[1.634, -2.368, 0.000], [1.634, 2.368, 0.000], [0.000, 0.000, 8.890]], "species": ["Mn", "Tl", "Mo", "Mo"], "fractional_positions": [[0.000, 0.000, 0.000], [0.500, 0.500, 0.735], [0.000, 0.000, 0.453], [0.500, 0.500, 0.219]]}

Run B
{"formula": "MnTlMo2", "functional": "PBE-GGA", "state": "relaxed", "volume_a3_per_atom": 16.8, "mass_density_kg_m3": 11141, "n_ef_per_ev_fu": 3.9, "sg": "No. 10", "lattice_angstrom": [[2.842, 0.000, 0.000], [0.000, 4.121, 0.000], [-0.680, 0.000, 5.742]], "species": ["Mn", "Tl", "Mo", "Mo"], "fractional_positions": [[0.000, 0.000, 0.000], [0.000, 0.000, 0.500], [0.423, 0.500, 0.205], [0.577, 0.500, 0.795]]}

So which one is most stable? That would be run A, about 55 meV per atom below the next structure.

Run A
{"formula": "Mn2TlMo", "functional": "PBE-GGA", "state": "relaxed", "volume_a3_per_atom": 17.0, "mass_density_kg_m3": 9998, "n_ef_per_ev_fu": 3.6, "sg": "No. 166", "lattice_angstrom": [[1.509, 0.871, 8.642], [-1.509, 0.871, 8.642], [0.000, -1.742, 8.642]], "species": ["Mn", "Mn", "Tl", "Mo"], "fractional_positions": [[0.241, 0.241, 0.241], [0.759, 0.759, 0.759], [0.000, 0.000, 0.000], [0.500, 0.500, 0.500]]}

Run B
{"formula": "Mn2TlMo", "functional": "PBE-GGA", "state": "relaxed", "volume_a3_per_atom": 16.2, "mass_density_kg_m3": 10526, "n_ef_per_ev_fu": 2.2, "sg": "No. 99", "lattice_angstrom": [[3.086, 0.000, 0.000], [0.000, 3.086, 0.000], [0.000, 0.000, 6.795]], "species": ["Mn", "Mn", "Tl", "Mo"], "fractional_positions": [[0.000, 0.000, 0.000], [0.500, 0.500, 0.212], [0.500, 0.500, 0.715], [0.000, 0.000, 0.402]]}

Run C
{"formula": "Mn2TlMo", "functional": "PBE-GGA", "state": "relaxed", "volume_a3_per_atom": 15.9, "mass_density_kg_m3": 10684, "n_ef_per_ev_fu": 3.7, "sg": "No. 44", "lattice_angstrom": [[-1.625, 2.225, 4.406], [1.625, -2.225, 4.406], [1.625, 2.225, -4.406]], "species": ["Mn", "Mn", "Tl", "Mo"], "fractional_positions": [[0.000, 0.000, 0.000], [0.755, 0.255, 0.500], [0.491, 0.491, 0.000], [0.217, 0.717, 0.500]]}

So which one is most stable? That would be run B, about 105 meV per atom below the next structure.

Run A
{"formula": "Mn2TlMo", "functional": "PBE-GGA", "state": "relaxed", "volume_a3_per_atom": 16.3, "mass_density_kg_m3": 10468, "n_ef_per_ev_fu": 2.7, "sg": "No. 119", "lattice_angstrom": [[-2.048, 2.048, 3.877], [2.048, -2.048, 3.877], [2.048, 2.048, -3.877]], "species": ["Mn", "Mn", "Tl", "Mo"], "fractional_positions": [[0.000, 0.000, 0.000], [0.750, 0.250, 0.500], [0.500, 0.500, 0.000], [0.250, 0.750, 0.500]]}

Run B
{"formula": "Mn2TlMo", "functional": "PBE-GGA", "state": "relaxed", "volume_a3_per_atom": 16.9, "mass_density_kg_m3": 10106, "n_ef_per_ev_fu": 4.6, "sg": "No. 65", "lattice_angstrom": [[1.682, -2.335, 0.000], [1.682, 2.335, 0.000], [0.000, 0.000, 8.580]], "species": ["Mn", "Mn", "Tl", "Mo"], "fractional_positions": [[0.000, 0.000, 0.223], [0.000, 0.000, 0.777], [0.500, 0.500, 0.500], [0.500, 0.500, 0.000]]}

Run C
{"formula": "Mn2TlMo", "functional": "PBE-GGA", "state": "relaxed", "volume_a3_per_atom": 16.4, "mass_density_kg_m3": 10353, "n_ef_per_ev_fu": 3.0, "sg": "No. 216", "lattice_angstrom": [[0.000, 3.204, 3.204], [3.204, 0.000, 3.204], [3.204, 3.204, 0.000]], "species": ["Mn", "Mn", "Tl", "Mo"], "fractional_positions": [[0.000, 0.000, 0.000], [0.250, 0.250, 0.250], [0.500, 0.500, 0.500], [0.750, 0.750, 0.750]]}

So which one is most stable? That would be run B, about 60 meV per atom below the next structure.

Run A
{"formula": "Mn2TlMo", "functional": "PBE-GGA", "state": "relaxed", "volume_a3_per_atom": 15.6, "mass_density_kg_m3": 10900, "n_ef_per_ev_fu": 4.1, "sg": "No. 71", "lattice_angstrom": [[-2.042, 2.047, 3.736], [2.042, -2.047, 3.736], [2.042, 2.047, -3.736]], "species": ["Mn", "Mn", "Tl", "Mo"], "fractional_positions": [[0.250, 0.250, 0.000], [0.750, 0.750, 0.000], [0.500, 0.000, 0.500], [0.000, 0.500, 0.500]]}

Run B
{"formula": "Mn2TlMo", "functional": "PBE-GGA", "state": "relaxed", "volume_a3_per_atom": 16.3, "mass_density_kg_m3": 10474, "n_ef_per_ev_fu": 2.8, "sg": "No. 123", "lattice_angstrom": [[3.219, 0.000, 0.000], [0.000, 3.219, 0.000], [0.000, 0.000, 6.278]], "species": ["Mn", "Mn", "Tl", "Mo"], "fractional_positions": [[0.000, 0.000, 0.210], [0.000, 0.000, 0.790], [0.500, 0.500, 0.500], [0.500, 0.500, 0.000]]}

Run C
{"formula": "Mn2TlMo", "functional": "PBE-GGA", "state": "relaxed", "volume_a3_per_atom": 16.2, "mass_density_kg_m3": 10510, "n_ef_per_ev_fu": 3.0, "sg": "No. 123", "lattice_angstrom": [[4.513, 0.000, 0.000], [0.000, 4.513, 0.000], [0.000, 0.000, 3.183]], "species": ["Mn", "Mn", "Tl", "Mo"], "fractional_positions": [[0.000, 0.500, 0.000], [0.500, 0.000, 0.000], [0.000, 0.000, 0.500], [0.500, 0.500, 0.500]]}

So which one is most stable? That would be run B, about 144 meV per atom below the next structure.

Run A
{"formula": "Mn2TlMo", "functional": "PBE-GGA", "state": "relaxed", "volume_a3_per_atom": 16.7, "mass_density_kg_m3": 10209, "n_ef_per_ev_fu": 3.0, "sg": "No. 12", "lattice_angstrom": [[4.387, -1.476, 0.000], [4.387, 1.476, 0.000], [-0.757, 0.000, 5.151]], "species": ["Mn", "Mn", "Tl", "Mo"], "fractional_positions": [[0.247, 0.247, 0.214], [0.753, 0.753, 0.786], [0.000, 0.000, 0.500], [0.500, 0.500, 0.000]]}

Run B
{"formula": "Mn2TlMo", "functional": "PBE-GGA", "state": "relaxed", "volume_a3_per_atom": 14.7, "mass_density_kg_m3": 11579, "n_ef_per_ev_fu": 4.2, "sg": "No. 225", "lattice_angstrom": [[0.000, 3.087, 3.087], [3.087, 0.000, 3.087], [3.087, 3.087, 0.000]], "species": ["Mn", "Mn", "Tl", "Mo"], "fractional_positions": [[0.250, 0.250, 0.250], [0.750, 0.750, 0.750], [0.000, 0.000, 0.000], [0.500, 0.500, 0.500]]}

So which one is most stable? That would be run A, about 50 meV per atom below the next structure.